VASP calculation (PBE) on an optimized crystal structure of Pr4Sb3.

Summary:
The calculation puts the total energy at -5.566 eV/atom. The calculation puts the formation energy from raw total energies at -1.068 eV/atom. The volume is 882 Å³/cell.

abc: 9.589 9.589 9.589
angles: 90.00 90.00 90.00
Space group I-43d (No. 220)
Asymmetric unit:
Pr 0.070 0.070 0.070
Sb 0.000 0.250 0.375